Entry 1:
Material: NaMn3Hg
Method: DFT, PBE
State: optimized geometry

Results
relative energy among the computed polymorphs: 0 meV per atom
volume: 137.6 Å³/f.u.

Geometry as POSCAR:
```
NaMn3Hg
1.0
5.1623 0.0000 0.0000
0.0000 5.1623 0.0000
0.0000 0.0000 5.1623
Na Mn Hg
1 3 1
Direct
0.0000 0.0000 0.0000
0.0000 0.5000 0.5000
0.5000 0.0000 0.5000
0.5000 0.5000 0.0000
0.5000 0.5000 0.5000
```

---

Entry 2:
Material: Na3MnHg
Method: DFT, PBE
State: optimized geometry

Results
relative energy among the computed polymorphs: 75 meV per atom
volume: 198.5 Å³/f.u.

Geometry as POSCAR:
```
Na3MnHg
1.0
5.8333 0.0000 0.0000
0.0000 5.8333 0.0000
0.0000 0.0000 5.8333
Na Mn Hg
3 1 1
Direct
0.0000 0.0000 0.5000
0.0000 0.5000 0.0000
0.5000 0.0000 0.0000
0.0000 0.0000 0.0000
0.5000 0.5000 0.5000
```

---

Entry 3:
Material: NaMn2Hg2
Method: DFT, PBE
State: optimized geometry

Results
relative energy among the computed polymorphs: 0 meV per atom
volume: 101.5 Å³/f.u.

Geometry as POSCAR:
```
NaMn2Hg2
1.0
8.1668 0.0000 0.0000
0.0000 8.1668 0.0000
0.0000 0.0000 3.0444
Na Mn Hg
2 4 4
Direct
0.0000 0.0000 0.0000
0.5000 0.5000 0.0000
0.1176 0.3824 0.0000
0.3824 0.8824 0.0000
0.6176 0.1176 0.0000
0.8824 0.6176 0.0000
0.1795 0.6795 0.5000
0.3205 0.1795 0.5000
0.6795 0.8205 0.5000
0.8205 0.3205 0.5000
```

---

Entry 4:
Material: Na2MnHg
Method: DFT, PBE
State: optimized geometry

Results
final energy: -2.603 eV per atom
volume: 102.1 Å³/f.u.

Geometry as POSCAR:
```
Na2MnHg
1.0
-4.2543 4.2543 2.8203
4.2543 -4.2543 2.8203
4.2543 4.2543 -2.8203
Na Mn Hg
4 2 2
Direct
0.1128 0.1250 0.4878
0.3750 0.8872 0.0122
0.6372 0.6250 0.5122
0.8750 0.3628 0.9878
0.2500 0.7500 0.5000
0.5000 0.5000 0.0000
0.0000 0.0000 0.0000
0.7500 0.2500 0.5000
```

---

> What is the formula in the second record?

Na3MnHg